Os2RuCl | PBE-GGA | relaxed

Values from the calculation:
**Formation energy from raw total energies**: 0.623 eV per atom
**Density**: 13.01 g cm⁻³
**Offset from the most stable computed form**: 0.116 eV/atom
**Electronic total energy**: -7.77 eV per atom

Lattice parameters (Å, degrees): 2.7864 3.6216 6.5365 90.00 90.00 90.00
Sites, in units of the cell vectors:
Os  0.0000  0.0000  0.0000
Os  0.5000  0.5000  0.1943
Ru  0.0000  0.0000  0.3989
Cl  0.0000  0.5000  0.7021